DFT (PBE) results for an optimized crystal structure of Tb3PrDy7. Values from VASP.

Properties
- E above lowest polymorph (eV/f.u.) = 0.00
- E_tot (eV/cell) = -49.3
- formation enthalpy at 0 K (eV per atom) = 0.143
- symmetry = P2/m (10)

Cell and atoms, written as Quantum ESPRESSO input:
```
&SYSTEM
  ibrav = 0, nat = 11, ntyp = 3
/
ATOMIC_SPECIES
Tb 158.93 Tb.upf
Pr 140.91 Pr.upf
Dy 162.50 Dy.upf
CELL_PARAMETERS angstrom
6.959 0.000 0.000
0.000 5.552 0.000
-3.337 0.000 9.333
ATOMIC_POSITIONS crystal
Tb 0.000 0.000 0.000
Tb 0.222 0.500 0.503
Tb 0.778 0.500 0.497
Pr 0.500 0.000 0.000
Dy 0.076 0.000 0.669
Dy 0.176 0.500 0.858
Dy 0.353 0.500 0.211
Dy 0.500 0.000 0.500
Dy 0.647 0.500 0.789
Dy 0.824 0.500 0.142
Dy 0.924 0.000 0.331
```